Entry 1:
# PBE CoAgP2, optimized geometry
data_CoAgP2
_chemical_formula_sum 'Co4 Ag4 P8'
_space_group_name_H-M_alt 'F -4 3 m'
_space_group_IT_number 216
_space_group_name_Hall 'F -4 2 3'
_cell_length_a 6.153
_cell_length_b 6.153
_cell_length_c 6.153
_cell_angle_alpha 90.00
_cell_angle_beta 90.00
_cell_angle_gamma 90.00
loop_
_atom_site_label
_atom_site_type_symbol
_atom_site_fract_x
_atom_site_fract_y
_atom_site_fract_z
Co1 Co 0.000 0.000 0.000
Ag1 Ag 0.250 0.250 0.250
P1 P 0.000 0.000 0.500
P2 P 0.250 0.250 0.750
# Energy of formation from the pure elements ... 2.7 eV/f.u.
# Fermi-level density of states ... 1.129 states/eV per atom
# Energy relative to the lowest polymorph listed for this composition ... 632.7 meV per atom

---

Entry 2:
# PBE NiAuS, optimized geometry
data_NiAuS
_chemical_formula_sum 'Ni4 Au4 S4'
_space_group_name_H-M_alt 'C 1 2/m 1'
_space_group_IT_number 12
_space_group_name_Hall '-C 2y'
_cell_length_a 9.626
_cell_length_b 3.896
_cell_length_c 7.043
_cell_angle_alpha 90.00
_cell_angle_beta 122.41
_cell_angle_gamma 90.00
loop_
_atom_site_label
_atom_site_type_symbol
_atom_site_fract_x
_atom_site_fract_y
_atom_site_fract_z
Ni1 Ni 0.160 0.000 0.401
Au1 Au 0.159 0.000 0.809
S1 S 0.117 0.500 0.255
# E_form (uncorrected) ... 0.042 eV/f.u.
# Fermi-level density of states ... 0.566 states/eV per atom

---

Entry 3:
# PBE KPtN2O, optimized geometry
data_KPtN2O
_chemical_formula_sum 'K1 Pt1 N2 O1'
_space_group_name_H-M_alt 'P 4/m m m'
_space_group_IT_number 123
_space_group_name_Hall '-P 4 2'
_cell_length_a 4.999
_cell_length_b 4.999
_cell_length_c 4.638
_cell_angle_alpha 90.00
_cell_angle_beta 90.00
_cell_angle_gamma 90.00
loop_
_atom_site_label
_atom_site_type_symbol
_atom_site_fract_x
_atom_site_fract_y
_atom_site_fract_z
K1 K 0.000 0.000 0.000
Pt1 Pt 0.500 0.500 0.500
N1 N 0.000 0.500 0.000
O1 O 0.000 0.000 0.500
# E_form (uncorrected) ... 14.266 eV/f.u.
# Fermi-level density of states ... 1.347 states/eV per atom

---

Entry 4:
# PBE TlRe2Sn2, optimized geometry
data_TlRe2Sn2
_chemical_formula_sum 'Tl2 Re4 Sn4'
_space_group_name_H-M_alt 'P 4/m b m'
_space_group_IT_number 127
_space_group_name_Hall '-P 4 2ab'
_cell_length_a 8.500
_cell_length_b 8.500
_cell_length_c 2.852
_cell_angle_alpha 90.00
_cell_angle_beta 90.00
_cell_angle_gamma 90.00
loop_
_atom_site_label
_atom_site_type_symbol
_atom_site_fract_x
_atom_site_fract_y
_atom_site_fract_z
Tl1 Tl 0.000 0.000 0.000
Re1 Re 0.142 0.358 0.500
Sn1 Sn 0.150 0.650 0.000
# Energy of formation from the pure elements ... 3.9 eV/f.u.
# Fermi-level density of states ... 0.584 states/eV per atom
# Energy relative to the lowest polymorph listed for this composition ... 317.5 meV per atom

---

The highest Fermi-level density of states belongs to which entry? KPtN2O